VASP calculation (PBE-GGA) on a relaxed Sr2EuAg crystal.

* calculated formation energy: 0.245 eV/f.u.
* Fermi-level density of states: 3.03 states/eV/atom

Unit cell a=4.2252 b=4.2252 c=35.6780 alpha=90.00 beta=90.00 gamma=120.00
Space group R-3m (No. 166, hexagonal axes)
Asymmetric unit:
Sr 0.0000 0.0000 0.1094 [6 per cell]
Eu 0.0000 0.0000 0.0000 [3 per cell]
Ag 0.0000 0.0000 0.5000 [3 per cell]



VASP calculation (PBE-GGA) on a relaxed LiPmGdPb crystal.

* calculated formation energy: -1.218 eV/f.u.
* Fermi-level density of states: 1.42 states/eV/atom

Unit cell a=7.6213 b=7.6213 c=7.6213 alpha=90.00 beta=90.00 gamma=90.00
Space group F-43m (No. 216)
Asymmetric unit:
Li 0.0000 0.0000 0.0000 [4 per cell]
Pm 0.2500 0.2500 0.7500 [4 per cell]
Gd 0.2500 0.2500 0.2500 [4 per cell]
Pb 0.0000 0.0000 0.5000 [4 per cell]



VASP calculation (PBE-GGA) on a relaxed AcMgBi2 crystal.

* calculated formation energy: -1.571 eV/f.u.
* Fermi-level density of states: 0.98 states/eV/atom

Unit cell a=4.2290 b=4.2290 c=7.2003 alpha=90.00 beta=90.00 gamma=90.00
Space group P4/mmm (No. 123)
Asymmetric unit:
Ac 0.0000 0.0000 0.0000 [1 per cell]
Mg 0.0000 0.0000 0.5000 [1 per cell]
Bi 0.5000 0.5000 0.2723 [2 per cell]



VASP calculation (PBE-GGA) on a relaxed Re2SbOs crystal.

* energy relative to the elements, uncorrected: 0.6083 eV/atom
* Fermi-level density of states: 0.88 states/eV/atom

Unit cell a=2.9069 b=4.0686 c=5.5243 alpha=90.00 beta=90.00 gamma=90.00
Space group Pmmm (No. 47)
Asymmetric unit:
Re 0.0000 0.0000 0.2266 [2 per cell]
Sb 0.5000 0.5000 0.5000 [1 per cell]
Os 0.5000 0.5000 0.0000 [1 per cell]